AcDyEr2: relaxed, GGA-PBE.

Summary:
Relative energy among the computed polymorphs = 0.058 eV/atom
Formation enthalpy at 0 K = 0.125 eV per atom

Unit cell a=5.793 b=5.793 c=5.793 alpha=60.00 beta=60.00 gamma=60.00
Atoms (fractional coordinates):
Ac1 0.500 0.500 0.500
Dy1 0.000 0.000 0.000
Er1 0.250 0.250 0.250
Er2 0.750 0.750 0.750